# Ba7HgBi2O2 | Alexandria | PBE | optimized geometry
data_Ba7HgBi2O2
_chemical_formula_sum 'Ba14 Hg2 Bi4 O4'
_symmetry_space_group_name_H-M 'I 4/m m m'
_symmetry_Int_Tables_number 139
_symmetry_space_group_name_Hall '-I 4 2'
_cell_length_a 5.367
_cell_length_b 5.367
_cell_length_c 30.897
_cell_angle_alpha 90.00
_cell_angle_beta 90.00
_cell_angle_gamma 90.00
loop_
_atom_site_label
_atom_site_type_symbol
_atom_site_fract_x
_atom_site_fract_y
_atom_site_fract_z
Ba1 Ba 0.000 0.000 0.000
Ba2 Ba 0.000 0.000 0.203
Ba3 Ba 0.000 0.500 0.097
Hg1 Hg 0.000 0.000 0.500
Bi1 Bi 0.000 0.000 0.319
O1 O 0.000 0.000 0.091
# ΔE_f (raw) = -1291 meV per atom
# raw total energy = -3.911 eV per atom
# crystal system = tetragonal